Entry 1:
MgHgW2, relaxed, DFT PBEsol; formation energy from the elements = 2.03 eV/f.u.; space-group type = Pmm2 (25)
1.0
2.749 0.000 0.000
0.000 4.257 0.000
0.000 0.000 5.915
Hg Mg W
1 1 2
Cartesian
0.000 0.000 3.045
1.374 2.129 4.400
0.000 0.000 0.125
1.374 2.129 1.301



Entry 2:
MgHgW2, relaxed, DFT PBEsol; formation energy from the elements = 2.15 eV/f.u.; space-group type = P2/m (10)
1.0
2.759 0.000 0.011
0.000 4.774 0.000
-1.116 0.000 5.163
Hg Mg W
1 1 2
Cartesian
1.380 2.387 0.005
-0.558 2.387 2.582
1.170 0.000 3.824
0.473 0.000 1.351



Entry 3:
MgHgW2, relaxed, DFT PBEsol; formation energy from the elements = 3.95 eV/f.u.; space-group type = P4/mmm (123)
1.0
2.792 0.000 0.000
0.000 4.945 0.000
0.000 0.000 4.945
Hg Mg W
1 1 2
Cartesian
1.396 2.473 2.473
1.396 0.000 0.000
0.000 0.000 2.473
0.000 2.473 0.000



Entry 4:
MgHgW2, relaxed, DFT PBEsol; formation energy from the elements = 3.57 eV/f.u.; space-group type = P4/mmm (123)
1.0
-3.393 -0.243 0.921
-0.477 -2.516 -2.421
1.285 -3.826 3.723
Hg Mg W
1 1 2
Cartesian
-1.935 -1.380 -0.750
-1.292 -3.293 1.111
0.934 -2.780 2.705
0.351 -1.045 1.017